# PBE Nd4AgIr, relaxed
# Crystal system   monoclinic
# Mass density   8412 kg/m3
# Total moment   0.0 μB/cell
# DFT formation energy   -0.318 eV per atom
# Calculated volume   692.51 Å³/cell
data_Nd4AgIr
_chemical_formula_sum 'Nd16 Ag4 Ir4'
_symmetry_space_group_name_H-M 'C 1 2/c 1'
_symmetry_Int_Tables_number 15
_symmetry_space_group_name_Hall '-C 2yc'
_cell_length_a 8.972
_cell_length_b 13.794
_cell_length_c 6.178
_cell_angle_alpha 90.00
_cell_angle_beta 115.07
_cell_angle_gamma 90.00
loop_
_atom_site_label
_atom_site_fract_x
_atom_site_fract_y
_atom_site_fract_z
Nd1 0.114 0.181 0.075
Nd2 0.216 0.429 0.331
Ag1 0.000 0.378 0.750
Ir1 0.000 0.001 0.250



# PBE Nd5AgIr2, relaxed
# Crystal system   tetragonal
# Mass density   9113 kg/m3
# Total moment   0.0 μB/cell
# DFT formation energy   -0.495 eV per atom
# Calculated volume   884.52 Å³/cell
data_Nd5AgIr2
_chemical_formula_sum 'Nd20 Ag4 Ir8'
_symmetry_space_group_name_H-M 'I 4/m c m'
_symmetry_Int_Tables_number 140
_symmetry_space_group_name_Hall '-I 4 2c'
_cell_length_a 8.003
_cell_length_b 8.003
_cell_length_c 13.810
_cell_angle_alpha 90.00
_cell_angle_beta 90.00
_cell_angle_gamma 90.00
loop_
_atom_site_label
_atom_site_fract_x
_atom_site_fract_y
_atom_site_fract_z
Nd1 0.000 0.000 0.000
Nd2 0.161 0.339 0.134
Ag1 0.000 0.000 0.250
Ir1 0.138 0.362 0.500



# PBE Nd8Ag2Ir, relaxed
# Crystal system   monoclinic
# Mass density   7889 kg/m3
# Total moment   0.0 μB/cell
# DFT formation energy   -0.202 eV per atom
# Calculated volume   657.53 Å³/cell
data_Nd8Ag2Ir
_chemical_formula_sum 'Nd16 Ag4 Ir2'
_symmetry_space_group_name_H-M 'C 1 2/m 1'
_symmetry_Int_Tables_number 12
_symmetry_space_group_name_Hall '-C 2y'
_cell_length_a 18.160
_cell_length_b 5.291
_cell_length_c 7.046
_cell_angle_alpha 90.00
_cell_angle_beta 103.78
_cell_angle_gamma 90.00
loop_
_atom_site_label
_atom_site_fract_x
_atom_site_fract_y
_atom_site_fract_z
Nd1 0.026 0.000 0.288
Nd2 0.088 0.500 0.936
Nd3 0.158 0.500 0.472
Nd4 0.202 0.000 0.821
Ag1 0.187 0.000 0.234
Ir1 0.000 0.500 0.500



# PBE Nd6Ag2Ir, relaxed
# Crystal system   monoclinic
# Mass density   7560 kg/m3
# Total moment   0.0 μB/cell
# DFT formation energy   -0.234 eV per atom
# Calculated volume   559.40 Å³/cell
data_Nd6Ag2Ir
_chemical_formula_sum 'Nd12 Ag4 Ir2'
_symmetry_space_group_name_H-M 'P 1 21/c 1'
_symmetry_Int_Tables_number 14
_symmetry_space_group_name_Hall '-P 2ybc'
_cell_length_a 6.811
_cell_length_b 7.763
_cell_length_c 12.400
_cell_angle_alpha 90.00
_cell_angle_beta 121.44
_cell_angle_gamma 90.00
loop_
_atom_site_label
_atom_site_fract_x
_atom_site_fract_y
_atom_site_fract_z
Nd1 0.115 0.024 0.249
Nd2 0.216 0.685 0.062
Nd3 0.378 0.179 0.054
Ag1 0.316 0.112 0.751
Ir1 0.500 0.000 0.500



# PBE Nd3Ag2Ir, relaxed
# Crystal system   orthorhombic
# Mass density   9305 kg/m3
# Total moment   0.0 μB/cell
# DFT formation energy   -0.399 eV per atom
# Calculated volume   600.07 Å³/cell
data_Nd3Ag2Ir
_chemical_formula_sum 'Nd12 Ag8 Ir4'
_symmetry_space_group_name_H-M 'C m m m'
_symmetry_Int_Tables_number 65
_symmetry_space_group_name_Hall '-C 2 2'
_cell_length_a 5.169
_cell_length_b 15.433
_cell_length_c 7.523
_cell_angle_alpha 90.00
_cell_angle_beta 90.00
_cell_angle_gamma 90.00
loop_
_atom_site_label
_atom_site_fract_x
_atom_site_fract_y
_atom_site_fract_z
Nd1 0.000 0.000 0.237
Nd2 0.000 0.326 0.229
Ag1 0.000 0.166 0.500
Ag2 0.000 0.500 0.000
Ag3 0.000 0.500 0.500
Ir1 0.000 0.157 0.000



# PBE Nd6AgIr3, relaxed
# Crystal system   monoclinic
# Mass density   8817 kg/m3
# Total moment   0.0 μB/cell
# DFT formation energy   -0.506 eV per atom
# Calculated volume   583.80 Å³/cell
data_Nd6AgIr3
_chemical_formula_sum 'Nd12 Ag2 Ir6'
_symmetry_space_group_name_H-M 'P 1 21/m 1'
_symmetry_Int_Tables_number 11
_symmetry_space_group_name_Hall '-P 2yb'
_cell_length_a 11.962
_cell_length_b 4.260
_cell_length_c 12.077
_cell_angle_alpha 90.00
_cell_angle_beta 108.46
_cell_angle_gamma 90.00
loop_
_atom_site_label
_atom_site_fract_x
_atom_site_fract_y
_atom_site_fract_z
Nd1 0.043 0.250 0.406
Nd2 0.110 0.250 0.960
Nd3 0.205 0.750 0.267
Nd4 0.261 0.750 0.773
Nd5 0.370 0.250 0.548
Nd6 0.434 0.750 0.097
Ag1 0.430 0.250 0.301
Ir1 0.036 0.250 0.171
Ir2 0.199 0.750 0.512
Ir3 0.340 0.250 0.932



# PBE Nd7AgIr4, relaxed
# Crystal system   monoclinic
# Mass density   9855 kg/m3
# Total moment   0.0 μB/cell
# DFT formation energy   -0.362 eV per atom
# Calculated volume   635.72 Å³/cell
data_Nd7AgIr4
_chemical_formula_sum 'Nd14 Ag2 Ir8'
_symmetry_space_group_name_H-M 'C 1 2/m 1'
_symmetry_Int_Tables_number 12
_symmetry_space_group_name_Hall '-C 2y'
_cell_length_a 14.132
_cell_length_b 5.491
_cell_length_c 10.165
_cell_angle_alpha 90.00
_cell_angle_beta 126.30
_cell_angle_gamma 90.00
loop_
_atom_site_label
_atom_site_fract_x
_atom_site_fract_y
_atom_site_fract_z
Nd1 0.000 0.000 0.000
Nd2 0.080 0.500 0.355
Nd3 0.168 0.000 0.615
Nd4 0.209 0.500 0.874
Ag1 0.000 0.500 0.000
Ir1 0.069 0.000 0.781
Ir2 0.207 0.000 0.337



# PBE NdAgIr, relaxed
# Crystal system   monoclinic
# Mass density   11615 kg/m3
# Total moment   0.0 μB/cell
# DFT formation energy   -0.138 eV per atom
# Calculated volume   254.09 Å³/cell
data_NdAgIr
_chemical_formula_sum 'Nd4 Ag4 Ir4'
_symmetry_space_group_name_H-M 'C 1 2/m 1'
_symmetry_Int_Tables_number 12
_symmetry_space_group_name_Hall '-C 2y'
_cell_length_a 10.092
_cell_length_b 5.639
_cell_length_c 5.102
_cell_angle_alpha 90.00
_cell_angle_beta 118.94
_cell_angle_gamma 90.00
loop_
_atom_site_label
_atom_site_fract_x
_atom_site_fract_y
_atom_site_fract_z
Nd1 0.125 0.000 0.376
Ag1 0.250 0.250 0.000
Ir1 0.049 0.500 0.297



# PBE Nd6Ag2Ir, relaxed
# Crystal system   orthorhombic
# Mass density   8193 kg/m3
# Total moment   0.0 μB/cell
# DFT formation energy   -0.230 eV per atom
# Calculated volume   1032.36 Å³/cell
data_Nd6Ag2Ir
_chemical_formula_sum 'Nd24 Ag8 Ir4'
_symmetry_space_group_name_H-M 'I m m m'
_symmetry_Int_Tables_number 71
_symmetry_space_group_name_Hall '-I 2 2'
_cell_length_a 9.846
_cell_length_b 10.140
_cell_length_c 10.341
_cell_angle_alpha 90.00
_cell_angle_beta 90.00
_cell_angle_gamma 90.00
loop_
_atom_site_label
_atom_site_fract_x
_atom_site_fract_y
_atom_site_fract_z
Nd1 0.000 0.166 0.249
Nd2 0.166 0.500 0.276
Nd3 0.235 0.318 0.000
Ag1 0.000 0.356 0.500
Ag2 0.137 0.000 0.000
Ir1 0.000 0.000 0.500
Ir2 0.000 0.500 0.000



# PBE Nd6AgIr3, relaxed
# Crystal system   orthorhombic
# Mass density   8804 kg/m3
# Total moment   0.0 μB/cell
# DFT formation energy   -0.435 eV per atom
# Calculated volume   1169.42 Å³/cell
data_Nd6AgIr3
_chemical_formula_sum 'Nd24 Ag4 Ir12'
_symmetry_space_group_name_H-M 'C m c 21'
_symmetry_Int_Tables_number 36
_symmetry_space_group_name_Hall 'C 2c -2'
_cell_length_a 11.084
_cell_length_b 14.359
_cell_length_c 7.348
_cell_angle_alpha 90.00
_cell_angle_beta 90.00
_cell_angle_gamma 90.00
loop_
_atom_site_label
_atom_site_fract_x
_atom_site_fract_y
_atom_site_fract_z
Nd1 0.000 0.013 0.000
Nd2 0.000 0.229 0.338
Nd3 0.167 0.470 0.401
Nd4 0.180 0.280 0.957
Ag1 0.000 0.171 0.727
Ir1 0.000 0.400 0.120
Ir2 0.185 0.110 0.200



What did the third record say?
# PBE Nd8Ag2Ir, relaxed
# Crystal system   monoclinic
# Mass density   7889 kg/m3
# Total moment   0.0 μB/cell
# DFT formation energy   -0.202 eV per atom
# Calculated volume   657.53 Å³/cell
data_Nd8Ag2Ir
_chemical_formula_sum 'Nd16 Ag4 Ir2'
_symmetry_space_group_name_H-M 'C 1 2/m 1'
_symmetry_Int_Tables_number 12
_symmetry_space_group_name_Hall '-C 2y'
_cell_length_a 18.160
_cell_length_b 5.291
_cell_length_c 7.046
_cell_angle_alpha 90.00
_cell_angle_beta 103.78
_cell_angle_gamma 90.00
loop_
_atom_site_label
_atom_site_fract_x
_atom_site_fract_y
_atom_site_fract_z
Nd1 0.026 0.000 0.288
Nd2 0.088 0.500 0.936
Nd3 0.158 0.500 0.472
Nd4 0.202 0.000 0.821
Ag1 0.187 0.000 0.234
Ir1 0.000 0.500 0.500